# 1
The following is a DFT calculation (PBE) of a relaxed NiSn4Au crystal.

Output
- symmetry = P2_1/c (14)
- density (kg/m3) = 8496
- VASP energy (eV/atom) = -4.284
- excess energy over the best structure of this formula in the dataset (meV/atom) = 22

a = 6.739 Å, b = 6.685 Å, c = 6.401 Å
α = 90.00°, β = 97.98°, γ = 90.00°
Positions (direct):
Ni: 0.500 0.000 0.500
Ni: 0.000 0.500 0.500
Sn: 0.889 0.627 0.132
Sn: 0.611 0.127 0.868
Sn: 0.336 0.348 0.417
Sn: 0.164 0.848 0.583
Sn: 0.111 0.373 0.868
Sn: 0.389 0.873 0.132
Sn: 0.664 0.652 0.583
Sn: 0.836 0.152 0.417
Au: 0.000 0.000 0.000
Au: 0.500 0.500 0.000


# 2
The following is a DFT calculation (PBE) of a relaxed TaRu2Au crystal.

Output
- symmetry = P4/mmm (123)
- density (kg/m3) = 15522
- VASP energy (eV/atom) = -8.578
- excess energy over the best structure of this formula in the dataset (meV/atom) = 0

a = 3.776 Å, b = 4.054 Å, c = 4.054 Å
α = 90.00°, β = 90.00°, γ = 90.00°
Positions (direct):
Ru: 0.000 0.000 0.000
Ru: 0.000 0.500 0.500
Au: 0.500 0.000 0.500
Ta: 0.500 0.500 0.000


# 3
The following is a DFT calculation (PBE) of a relaxed K2YHg crystal.

Output
- symmetry = I-42d (122)
- density (kg/m3) = 3441
- VASP energy (eV/atom) = -1.925

a = 10.774 Å, b = 10.774 Å, c = 8.209 Å
α = 48.99°, β = 48.99°, γ = 90.00°
Positions (direct):
Y: 0.500 0.500 0.000
Y: 0.250 0.750 0.500
K: 0.704 0.125 0.250
K: 0.046 0.625 0.250
K: 0.375 0.296 0.750
K: 0.875 0.954 0.750
Hg: 0.000 0.000 0.000
Hg: 0.750 0.250 0.500


Q: Look up the VASP energy of the first one.
A: -4.284 eV/atom


Q: Among the records above, which one has the highest density?
A: TaRu2Au


Q: Among the records above, which one has the lowest density?
A: K2YHg


Q: Which value of VASP energy does entry 1 give?
A: -4.284 eV/atom